1.
This record from Alexandria describes an optimized crystal structure of FeRh2W. The functional is PBE-GGA.

Properties
Density of states at the Fermi level in states/eV/cell: 3.55
Excess energy over the best structure of this formula in the dataset in meV per atom: 220
E_form in eV/atom: 0.060
SG: P4mm, No. 99
Raw total energy in eV/atom: -8.970

Cell: 3.1669 3.1669 5.7042 Å, 90.00 90.00 90.00°
Closest atoms and distances in Å follow each position.
Sites, in units of the cell vectors:
W 0.0000 0.0000 0.5125  5 Rh 2.59-2.64, 4 Fe 2.63
Rh 0.5000 0.5000 0.2660  4 W 2.64, 2 Fe 2.79-2.91, 4 Rh 2.82
Rh 0.0000 0.0000 0.9664  4 Fe 2.54, 1 W 2.59, 4 Rh 2.82
Fe 0.5000 0.5000 0.7550  5 Rh 2.54-2.79, 4 W 2.63

2.
This record from Alexandria describes an optimized crystal structure of Th2UCo12B3. The functional is PBE-GGA.

Properties
Density of states at the Fermi level in states/eV/cell: 19.06
E_form in eV/atom: 0.024
SG: R-3m, No. 166
Raw total energy in eV/atom: -7.278

Cell: 7.1342 7.1342 7.1342 Å, 57.43 57.43 57.43°
Closest atoms and distances in Å follow each position.
Sites, in units of the cell vectors:
B 0.5000 0.0000 0.0000  6 Co 1.88-1.98
B 0.0000 0.0000 0.5000  6 Co 1.88-1.98
B 0.0000 0.5000 0.0000  6 Co 1.88-1.98
Co 0.1262 0.7278 0.7278  2 B 1.88
Co 0.7278 0.7278 0.1262  2 B 1.88
Co 0.5353 0.1452 0.1452  1 B 1.98
Co 0.2722 0.2722 0.8738  2 B 1.88
Co 0.1452 0.5353 0.1452  1 B 1.98
Co 0.4647 0.8548 0.8548  1 B 1.98
Co 0.8738 0.2722 0.2722  2 B 1.88
Co 0.7278 0.1262 0.7278  2 B 1.88
Co 0.8548 0.4647 0.8548  1 B 1.98
Co 0.2722 0.8738 0.2722  2 B 1.88
Co 0.1452 0.1452 0.5353  1 B 1.98
Co 0.8548 0.8548 0.4647  1 B 1.98
U 0.0000 0.0000 0.0000  12 Co 2.63-2.94
Th 0.5968 0.5968 0.5968  6 Co 2.68-2.75
Th 0.4032 0.4032 0.4032  6 Co 2.68-2.75

3.
This record from Alexandria describes an optimized crystal structure of Mg2CdH6. The functional is PBE-GGA.

Properties
Density of states at the Fermi level in states/eV/cell: 1.83
SG: Fm-3m, No. 225
Raw total energy in eV/atom: -2.298

Cell: 4.9045 4.9045 4.9045 Å, 60.00 60.00 60.00°
Closest atoms and distances in Å follow each position.
Sites, in units of the cell vectors:
H 0.2814 0.7186 0.2814  1 Cd 1.95, 4 H 2.14
H 0.7186 0.2814 0.7186  1 Cd 1.95, 4 H 2.14
H 0.7186 0.2814 0.2814  1 Cd 1.95, 4 H 2.14
H 0.7186 0.7186 0.2814  1 Cd 1.95, 4 H 2.14
H 0.2814 0.7186 0.7186  1 Cd 1.95, 4 H 2.14
H 0.2814 0.2814 0.7186  1 Cd 1.95, 4 H 2.14
Mg 0.2500 0.2500 0.2500  12 H 2.46
Mg 0.7500 0.7500 0.7500  12 H 2.46
Cd 0.0000 0.0000 0.0000  6 H 1.95

4.
This record from Alexandria describes an optimized crystal structure of Na3TiPb2Se6. The functional is PBE-GGA.

Properties
Density of states at the Fermi level in states/eV/cell: 5.08
SG: C2/m, No. 12
Raw total energy in eV/atom: -4.223
Raw formation energy in eV per atom: -0.875

Cell: 7.1931 7.1931 7.3350 Å, 99.64 99.64 120.05°
Closest atoms and distances in Å follow each position.
Sites, in units of the cell vectors:
Na 0.1771 0.8229 0.5000  6 Se 2.99-3.18
Na 0.8229 0.1771 0.5000  6 Se 2.99-3.18
Na 0.5000 0.5000 0.5000  4 Se 2.95
Se 0.7855 0.7855 0.2239  1 Ti 2.60
Se 0.9250 0.6299 0.7747  1 Ti 2.63
Se 0.6299 0.9250 0.7747  1 Ti 2.63
Se 0.3701 0.0750 0.2253  1 Ti 2.63
Se 0.2145 0.2145 0.7761  1 Ti 2.60
Se 0.0750 0.3701 0.2253  1 Ti 2.63
Pb 0.6648 0.3352 0.0000  6 Se 2.98-3.00
Pb 0.3352 0.6648 0.0000  6 Se 2.98-3.00
Ti 0.0000 0.0000 0.0000  6 Se 2.60-2.63

5.
This record from Alexandria describes an optimized crystal structure of BaSr2Si2. The functional is PBE-GGA.

Properties
Density of states at the Fermi level in states/eV/cell: 6.69
Excess energy over the best structure of this formula in the dataset in meV per atom: 117
SG: P4/mbm, No. 127
Raw total energy in eV/atom: -3.396
Raw formation energy in eV per atom: -0.169

Cell: 9.3231 9.3231 3.5552 Å, 90.00 90.00 90.00°
Closest atoms and distances in Å follow each position.
Sites, in units of the cell vectors:
Sr 0.6251 0.1251 0.0000  6 Si 3.19-3.34, 3 Sr 3.30-3.56
Sr 0.1251 0.3749 0.0000  6 Si 3.19-3.34, 3 Sr 3.30-3.56
Sr 0.3749 0.8749 0.0000  6 Si 3.19-3.34, 3 Sr 3.30-3.56
Sr 0.8749 0.6251 0.0000  6 Si 3.19-3.34, 3 Sr 3.30-3.56
Si 0.6742 0.8258 0.5000  6 Sr 3.19-3.34, 2 Si 3.56
Si 0.3258 0.1742 0.5000  6 Sr 3.19-3.34, 2 Si 3.56
Si 0.8258 0.3258 0.5000  6 Sr 3.19-3.34, 2 Si 3.56
Si 0.1742 0.6742 0.5000  6 Sr 3.19-3.34, 2 Si 3.56
Ba 0.0000 0.0000 0.0000  2 Ba 3.56, 4 Sr 3.68, 8 Si 3.88
Ba 0.5000 0.5000 0.0000  2 Ba 3.56, 4 Sr 3.68, 8 Si 3.88

6.
This record from Alexandria describes an optimized crystal structure of Sr2LaIn2Sb4. The functional is PBE-GGA.

Properties
Density of states at the Fermi level in states/eV/cell: 4.01
SG: C2/m, No. 12
Raw total energy in eV/atom: -4.053
Raw formation energy in eV per atom: -0.691

Cell: 4.7061 7.9483 8.5473 Å, 105.52 105.98 90.00°
Closest atoms and distances in Å follow each position.
Sites, in units of the cell vectors:
Sb 0.2130 0.2242 0.4261  3 In 2.95-3.05
Sb 0.5002 0.2946 0.0004  1 In 2.99, 1 Sb 3.27, 2 La 3.32
Sb 0.7870 0.7758 0.5739  3 In 2.95-3.05
Sb 0.4998 0.7054 0.9996  1 In 2.99, 1 Sb 3.27, 2 La 3.32
Sr 0.1308 0.5740 0.2616  7 Sb 3.41-3.54
Sr 0.8692 0.4260 0.7384  7 Sb 3.41-3.54
In 0.3387 0.0054 0.6774  4 Sb 2.95-3.05
In 0.6613 0.9946 0.3226  4 Sb 2.95-3.05
La 0.0000 0.0000 0.0000  6 Sb 3.32-3.46, 4 In 3.55